Below is crystalline TbNd3Dy4 at its relaxed geometry, with properties calculated at the PBE level.

Unit cell a=3.4810 b=11.7114 c=13.0816 alpha=90.00 beta=90.00 gamma=90.00
Positions (direct):
Tb  0.0000  0.0000  0.0000
Tb  0.5000  0.5000  0.5000
Nd  0.0000  0.0000  0.5000
Nd  0.0000  0.5000  0.2574
Nd  0.0000  0.5000  0.7426
Nd  0.5000  0.0000  0.2426
Nd  0.5000  0.0000  0.7574
Nd  0.5000  0.5000  0.0000
Dy  0.0000  0.2463  0.1345
Dy  0.0000  0.2463  0.8655
Dy  0.0000  0.7537  0.1345
Dy  0.0000  0.7537  0.8655
Dy  0.5000  0.2537  0.3655
Dy  0.5000  0.2537  0.6345
Dy  0.5000  0.7463  0.3655
Dy  0.5000  0.7463  0.6345

Values from the calculation:
crystal system	orthorhombic
spin magnetization	0.000	μB/f.u.
energy above the lowest structure with this stoichiometry	105	meV per atom